The following is a GGA-PBE calculation of an optimized crystal structure of Tb2Y3In, from Alexandria.

Unit cell a=17.2614 b=6.1814 c=7.0406 alpha=90.00 beta=90.00 gamma=90.00
With the nearest neighbours (Å) after each atom.
Space group Cmcm (No. 63)
Asymmetric unit:
Tb (0.1857, 0.0214, 0.2500) [8 per cell]  7 Y 3.43-3.76, 4 Tb 3.53-3.80, 1 In 3.67
Y (0.0000, 0.1758, 0.7500) [4 per cell]  2 In 3.00-3.18
Y (0.1382, 0.5000, 0.0000) [8 per cell]  2 In 3.19, 4 Tb 3.51-3.54, 2 Y 3.52
In (0.0000, 0.3102, 0.2500) [4 per cell]  6 Y 3.00-3.19

Energy above the most stable polymorph in this dataset, eV/atom: 0.052
Energy of formation from the pure elements, eV/atom: -0.11
Fermi-level density of states, states/eV/atom: 1.35
Total magnetic moment, μB/atom: 0.101
Electronic total energy, eV for the cell shown: -128.20